[1]
Entry from the Alexandria database: an optimized crystal structure of Li4InGa2 (PBE-GGA).

Space group   Cmmm (65)
Crystal system   orthorhombic
D(E_F)   3.1 states/eV/cell

Cell: 4.9997 5.0829 5.9694 Å, 115.20 90.00 90.00°
Last column: nearest neighbours and their distance in Å.
Sites, in units of the cell vectors:
Li (0.5000, 0.6470, 0.2940)  3 Ga 2.57-2.61
Li (0.0000, 0.8110, 0.6221)  2 Ga 2.64, 2 Li 2.86
Li (0.5000, 0.3530, 0.7060)  3 Ga 2.57-2.61
Li (0.0000, 0.1890, 0.3779)  2 Ga 2.64, 2 Li 2.86
Ga (0.5000, 0.1110, 0.2220)  1 Ga 2.40, 5 Li 2.57-2.64
Ga (0.5000, 0.8890, 0.7780)  1 Ga 2.40, 5 Li 2.57-2.64
In (0.0000, 0.5000, 0.0000)  8 Li 2.96-3.26

***

[2]
Entry from the Alexandria database: an optimized crystal structure of Li6InGa2 (PBE-GGA).

Space group   R-3m (166)
Crystal system   trigonal
D(E_F)   2.0 states/eV/cell

Cell: 5.3217 5.3231 5.3231 Å, 96.25 96.24 96.24°
Last column: nearest neighbours and their distance in Å.
Sites, in units of the cell vectors:
In (0.0000, 0.0000, 0.0000)  2 Ga 2.78, 12 Li 2.98
Ga (0.3415, 0.3414, 0.3414)  1 Ga 2.59, 1 In 2.78
Ga (0.6585, 0.6586, 0.6586)  1 Ga 2.59, 1 In 2.78
Li (0.8315, 0.5001, 0.1687)  5 Li 2.63-2.72, 2 Ga 2.93
Li (0.8315, 0.1687, 0.5001)  5 Li 2.63-2.72, 2 Ga 2.93
Li (0.5000, 0.8315, 0.1685)  5 Li 2.63-2.72, 2 Ga 2.93
Li (0.1685, 0.8313, 0.4999)  5 Li 2.63-2.72, 2 Ga 2.93
Li (0.1685, 0.4999, 0.8313)  5 Li 2.63-2.72, 2 Ga 2.93
Li (0.5000, 0.1685, 0.8315)  5 Li 2.63-2.72, 2 Ga 2.93

***

[3]
Entry from the Alexandria database: an optimized crystal structure of Li2In3Ga4 (PBE-GGA).

Space group   P-1 (2)
Crystal system   triclinic
D(E_F)   2.4 states/eV/cell

Cell: 4.5369 6.0501 8.8904 Å, 57.07 73.98 68.19°
Last column: nearest neighbours and their distance in Å.
Sites, in units of the cell vectors:
In (0.4450, 0.7915, 0.3201)  5 Ga 2.92-3.21, 3 Li 3.09-3.24, 2 In 3.20-3.25
In (0.0000, 0.0000, 0.0000)  8 Ga 3.21-3.39, 4 In 3.25-3.34, 2 Li 3.27
In (0.5550, 0.2085, 0.6799)  5 Ga 2.92-3.21, 3 Li 3.09-3.24, 2 In 3.20-3.25
Li (0.2452, 0.8270, 0.6866)  6 Ga 2.80-3.00, 2 In 3.09-3.12
Li (0.7548, 0.1730, 0.3134)  6 Ga 2.80-3.00, 2 In 3.09-3.12
Ga (0.8921, 0.5974, 0.6177)  2 Ga 2.70-2.72, 3 Li 2.80-2.99, 2 In 3.00-3.02
Ga (0.1079, 0.4026, 0.3823)  2 Ga 2.70-2.72, 3 Li 2.80-2.99, 2 In 3.00-3.02
Ga (0.2706, 0.3823, 0.0732)  3 Ga 2.60-2.70, 1 Li 2.85
Ga (0.7294, 0.6177, 0.9268)  3 Ga 2.60-2.70, 1 Li 2.85

***

[4]
Entry from the Alexandria database: an optimized crystal structure of Li3In5Ga3 (PBE-GGA).

Space group   P-62m (189)
Crystal system   hexagonal
D(E_F)   5.9 states/eV/cell

Cell: 3.0545 9.6494 9.6494 Å, 120.00 90.00 90.00°
Last column: nearest neighbours and their distance in Å.
Sites, in units of the cell vectors:
Ga (0.5000, 0.8394, 0.0000)  2 Ga 2.68, 2 Li 2.73, 2 In 2.89
Ga (0.5000, 0.1606, 0.1606)  2 Ga 2.68, 2 Li 2.73, 2 In 2.89
Ga (0.5000, 0.0000, 0.8394)  2 Ga 2.68, 2 Li 2.73, 2 In 2.89
In (0.5000, 0.6548, 0.6548)  2 Ga 2.89, 2 Li 2.94, 4 In 3.05-3.16
In (0.5000, 0.3333, 0.6667)  5 In 3.05-3.16, 6 Li 3.33
In (0.5000, 0.3452, 0.0000)  2 Ga 2.89, 2 Li 2.94, 4 In 3.05-3.16
In (0.5000, 0.6667, 0.3333)  5 In 3.05-3.16, 6 Li 3.33
In (0.5000, 0.0000, 0.3452)  2 Ga 2.89, 2 Li 2.94, 4 In 3.05-3.16
Li (0.0000, 0.0000, 0.6050)  2 Ga 2.73, 2 In 2.94, 2 Li 3.05
Li (0.0000, 0.6050, 0.0000)  2 Ga 2.73, 2 In 2.94, 2 Li 3.05
Li (0.0000, 0.3950, 0.3950)  2 Ga 2.73, 2 In 2.94, 2 Li 3.05

***

[5]
Entry from the Alexandria database: an optimized crystal structure of Li5In8Ga (PBE-GGA).

Space group   I-4 (82)
Crystal system   tetragonal
D(E_F)   3.8 states/eV/cell

Cell: 7.3950 7.3950 7.3950 Å, 111.94 104.64 111.94°
Last column: nearest neighbours and their distance in Å.
Sites, in units of the cell vectors:
In (0.3467, 0.2695, 0.4133)  5 Li 2.82-3.01, 1 Ga 2.87, 1 In 3.12
In (0.5072, 0.6012, 0.2469)  4 Li 2.87-3.02, 3 In 3.05-3.17
In (0.7531, 0.2603, 0.3543)  4 Li 2.87-3.02, 3 In 3.05-3.17
In (0.5867, 0.9334, 0.8562)  5 Li 2.82-3.01, 1 Ga 2.87, 1 In 3.12
In (0.9227, 0.0666, 0.6533)  5 Li 2.82-3.01, 1 Ga 2.87, 1 In 3.12
In (0.0940, 0.7397, 0.4928)  4 Li 2.87-3.02, 3 In 3.05-3.17
In (0.6457, 0.3988, 0.9060)  4 Li 2.87-3.02, 3 In 3.05-3.17
In (0.1438, 0.7305, 0.0773)  5 Li 2.82-3.01, 1 Ga 2.87, 1 In 3.12
Li (0.0359, 0.3240, 0.1295)  7 In 2.92-3.02, 2 Li 3.14
Li (0.8705, 0.9064, 0.1945)  7 In 2.92-3.02, 2 Li 3.14
Li (0.8055, 0.6760, 0.7119)  7 In 2.92-3.02, 2 Li 3.14
Li (0.5000, 0.0000, 0.5000)  8 In 2.82-2.87
Li (0.2881, 0.0936, 0.9641)  7 In 2.92-3.02, 2 Li 3.14
Ga (0.2500, 0.5000, 0.7500)  4 In 2.87

***

[6]
Entry from the Alexandria database: an optimized crystal structure of Li4InGa (PBE-GGA).

Space group   P2_1/m (11)
Crystal system   monoclinic
D(E_F)   2.5 states/eV/cell

Cell: 4.5968 5.5347 8.3863 Å, 70.96 90.00 90.00°
Last column: nearest neighbours and their distance in Å.
Sites, in units of the cell vectors:
Li (0.2500, 0.3012, 0.4166)  5 Li 2.64-2.87
Li (0.7500, 0.5386, 0.9165)  5 Li 2.64-2.80
Li (0.7500, 0.2176, 0.5840)  5 Li 2.64-2.87
Li (0.2500, 0.4614, 0.0835)  5 Li 2.64-2.80
Li (0.2500, 0.7824, 0.4160)  5 Li 2.64-2.87
Li (0.2500, 0.9554, 0.0833)  5 Li 2.64-2.80
Li (0.7500, 0.0446, 0.9167)  5 Li 2.64-2.80
Li (0.7500, 0.6988, 0.5834)  5 Li 2.64-2.87
Ga (0.2500, 0.3739, 0.7521)  2 In 2.77, 12 Li 2.97-2.98
Ga (0.7500, 0.6261, 0.2479)  2 In 2.77, 12 Li 2.97-2.98
In (0.7500, 0.1237, 0.2530)  2 Ga 2.77, 12 Li 2.99-3.01
In (0.2500, 0.8763, 0.7470)  2 Ga 2.77, 12 Li 2.99-3.01

***

[7]
Entry from the Alexandria database: an optimized crystal structure of LiInGa4 (PBE-GGA).

Space group   F-43m (216)
Crystal system   cubic
D(E_F)   1.1 states/eV/cell

Cell: 5.5685 5.5685 5.5685 Å, 60.00 60.00 60.00°
Last column: nearest neighbours and their distance in Å.
Sites, in units of the cell vectors:
Li (0.0000, 0.0000, 0.0000)  12 Ga 3.26, 4 In 3.41
Ga (0.6254, 0.1237, 0.6254)  6 Ga 2.77-2.79
Ga (0.6254, 0.6254, 0.1237)  6 Ga 2.77-2.79
Ga (0.6254, 0.6254, 0.6254)  6 Ga 2.77-2.79
Ga (0.1237, 0.6254, 0.6254)  6 Ga 2.77-2.79
In (0.2500, 0.2500, 0.2500)  12 Ga 3.27, 4 Li 3.41

***

[8]
Entry from the Alexandria database: an optimized crystal structure of Li2In7Ga2 (PBE-GGA).

Space group   C2/m (12)
Crystal system   monoclinic
D(E_F)   3.9 states/eV/cell

Cell: 6.1790 7.2832 6.1790 Å, 89.94 97.18 90.06°
Last column: nearest neighbours and their distance in Å.
Sites, in units of the cell vectors:
In (0.4997, 0.7020, 0.5003)  2 Li 2.79, 5 In 2.94-3.10
In (0.9996, 0.7303, 0.4993)  2 Li 2.89, 2 Ga 2.96, 2 In 3.10
In (0.0004, 0.2697, 0.5007)  2 Li 2.89, 2 Ga 2.96, 2 In 3.10
In (0.5007, 0.7303, 0.0004)  2 Li 2.89, 2 Ga 2.96, 2 In 3.10
In (0.4993, 0.2697, 0.9996)  2 Li 2.89, 2 Ga 2.96, 2 In 3.10
In (0.0000, 0.0000, 0.0000)  2 Li 2.88
In (0.5003, 0.2980, 0.4997)  2 Li 2.79, 5 In 2.94-3.10
Li (0.3107, 0.9998, 0.6893)  7 In 2.79-2.89
Li (0.6893, 0.0002, 0.3107)  7 In 2.79-2.89
Ga (0.1570, 0.5000, 0.1570)  1 Ga 2.57
Ga (0.8430, 0.5000, 0.8430)  1 Ga 2.57

***

[9]
Entry from the Alexandria database: an optimized crystal structure of LiInGa3 (PBE-GGA).

Space group   Pm-3m (221)
Crystal system   cubic
D(E_F)   1.8 states/eV/cell

Cell: 4.7539 4.7539 4.7539 Å, 90.00 90.00 90.00°
Last column: nearest neighbours and their distance in Å.
Sites, in units of the cell vectors:
Ga (0.5000, 0.0000, 0.0000)  2 Li 2.38
Ga (0.0000, 0.0000, 0.5000)  2 Li 2.38
Ga (0.0000, 0.5000, 0.0000)  2 Li 2.38
In (0.5000, 0.5000, 0.5000)  12 Ga 3.36
Li (0.0000, 0.0000, 0.0000)  6 Ga 2.38

***

[10]
Entry from the Alexandria database: an optimized crystal structure of LiIn3Ga8 (PBE-GGA).

Space group   I-42m (121)
Crystal system   tetragonal
D(E_F)   5.4 states/eV/cell

Cell: 7.1458 7.1458 7.1458 Å, 94.74 117.30 117.30°
Last column: nearest neighbours and their distance in Å.
Sites, in units of the cell vectors:
Ga (0.5314, 0.7098, 0.7098)  1 Li 2.52, 2 Ga 2.65-2.80
Ga (0.4686, 0.1785, 0.1785)  1 Li 2.52, 2 Ga 2.65-2.80
Ga (0.0000, 0.6558, 0.9205)  1 Li 2.48, 1 Ga 2.65
Ga (0.0000, 0.8215, 0.2902)  1 Li 2.52, 2 Ga 2.65-2.80
Ga (0.7353, 0.0795, 0.0795)  1 Li 2.48, 1 Ga 2.65
Ga (0.0000, 0.2902, 0.8215)  1 Li 2.52, 2 Ga 2.65-2.80
Ga (0.0000, 0.9205, 0.6558)  1 Li 2.48, 1 Ga 2.65
Ga (0.2647, 0.3442, 0.3442)  1 Li 2.48, 1 Ga 2.65
Li (0.0000, 0.0000, 0.0000)  8 Ga 2.48-2.52
In (0.5000, 0.2500, 0.7500)  8 Ga 2.93-3.24
In (0.5000, 0.7500, 0.2500)  8 Ga 2.93-3.24
In (0.0000, 0.5000, 0.5000)  8 Ga 2.85-3.12

***

[11]
Entry from the Alexandria database: an optimized crystal structure of Li4In3Ga2 (PBE-GGA).

Space group   P-1 (2)
Crystal system   triclinic
D(E_F)   2.9 states/eV/cell

Cell: 4.2037 5.2770 9.1268 Å, 70.89 90.15 66.35°
Last column: nearest neighbours and their distance in Å.
Sites, in units of the cell vectors:
Li (0.3338, 0.3333, 0.1084)  4 Li 2.92-2.94, 4 Ga 2.94-3.11, 4 In 2.99-3.03
Li (0.6662, 0.6667, 0.8916)  4 Li 2.92-2.94, 4 Ga 2.94-3.11, 4 In 2.99-3.03
Li (0.9968, 0.0053, 0.6788)  6 In 2.92-3.07, 2 Li 2.92-2.94, 3 Ga 2.94-3.05
Li (0.0032, 0.9947, 0.3212)  6 In 2.92-3.07, 2 Li 2.92-2.94, 3 Ga 2.94-3.05
In (0.0000, 0.0000, 0.0000)  8 Li 2.92-3.03, 4 Ga 2.97-2.98
In (0.3347, 0.3319, 0.4362)  3 Ga 2.91-3.20, 6 Li 2.99-3.07, 3 In 3.00-3.13
In (0.6653, 0.6681, 0.5638)  3 Ga 2.91-3.20, 6 Li 2.99-3.07, 3 In 3.00-3.13
Ga (0.3219, 0.3549, 0.7822)  5 In 2.91-3.20, 7 Li 2.94-3.11
Ga (0.6781, 0.6451, 0.2178)  5 In 2.91-3.20, 7 Li 2.94-3.11

***

[12]
Entry from the Alexandria database: an optimized crystal structure of Li4InGa (PBE-GGA).

Space group   F-43m (216)
Crystal system   cubic
D(E_F)   1.6 states/eV/cell

Cell: 5.3069 5.3069 5.3069 Å, 60.00 60.00 60.00°
Last column: nearest neighbours and their distance in Å.
Sites, in units of the cell vectors:
Li (0.6252, 0.1245, 0.6252)  6 Li 2.65-2.66
Li (0.6252, 0.6252, 0.6252)  6 Li 2.65-2.66
Li (0.1245, 0.6252, 0.6252)  6 Li 2.65-2.66
Li (0.6252, 0.6252, 0.1245)  6 Li 2.65-2.66
In (0.2500, 0.2500, 0.2500)  12 Li 3.11, 4 Ga 3.25
Ga (0.0000, 0.0000, 0.0000)  12 Li 3.11, 4 In 3.25

***

Listing energy of formation for the structures above in their given order: -84; -263; -92; -78; -146; -260; -63; 17; 181; 95; -224; -95 meV per atom.